Record 1
A plane-wave DFT calculation with meta-GGA SCAN was carried out for LaSiPd at its PBEsol-relaxed geometry.

Cell and atoms, written as extended XYZ:
```
24
Lattice="10.822 0.000 0.000 0.000 5.899 0.000 -0.336 0.000 7.852" Properties=species:S:1:pos:R:3 pbc="T T T"
La 1.304 0.772 2.579
La 1.136 2.178 6.505
La 3.741 3.758 3.679
La 3.574 5.090 7.606
La 6.913 0.809 0.247
La 6.745 2.141 4.173
La 9.351 3.721 1.347
La 9.183 5.127 5.273
Si 0.682 3.730 3.663
Si 0.514 5.119 7.589
Si 3.662 0.842 4.932
Si 3.830 2.107 1.006
Si 6.656 3.792 6.846
Si 6.824 5.057 2.920
Si 9.972 0.780 0.263
Si 9.805 2.169 4.189
Pd 1.783 3.586 1.419
Pd 1.615 5.263 5.345
Pd 4.728 0.578 2.673
Pd 4.560 2.372 6.600
Pd 5.926 3.527 1.253
Pd 5.759 5.321 5.179
Pd 8.871 0.636 2.508
Pd 8.703 2.313 6.434
```

Its space group is P2_1/c, No. 14.

***

Record 2
A plane-wave DFT calculation with meta-GGA SCAN was carried out for ScPbBr2 at its PBEsol-relaxed geometry.

Cell and atoms, written as extended XYZ:
```
4
Lattice="1.790 1.034 10.189 -1.790 1.034 10.189 0.000 -2.067 10.189" Properties=species:S:1:pos:R:3 pbc="T T T"
Sc 0.000 0.000 0.000
Pb 0.000 0.000 15.284
Br 0.000 0.000 2.517
Br 0.000 0.000 28.050
```

Its space group is R-3m, No. 166.

***

Record 3
A plane-wave DFT calculation with meta-GGA SCAN was carried out for Sr20P12Br3O48F at its PBEsol-relaxed geometry.

Cell and atoms, written as extended XYZ:
```
84
Lattice="9.873 0.000 0.000 -4.937 8.551 0.000 0.000 0.000 14.355" Properties=species:S:1:pos:R:3 pbc="T T T"
Sr -1.174 2.155 5.465
Sr -1.211 2.261 12.560
Sr -2.484 8.491 5.465
Sr 1.279 2.094 8.889
Sr -2.373 8.469 12.560
Sr 1.353 2.179 1.795
Sr 0.000 5.700 3.602
Sr 0.000 5.700 7.141
Sr 0.000 5.700 10.738
Sr 0.000 5.700 14.347
Sr 4.937 2.850 0.008
Sr 4.937 2.850 3.617
Sr 4.937 2.850 7.214
Sr 4.937 2.850 10.752
Sr 3.584 6.372 12.560
Sr 7.310 0.082 1.795
Sr 3.658 6.456 5.465
Sr 7.420 0.060 8.889
Sr 6.147 6.290 1.795
Sr 6.111 6.396 8.889
P -1.672 3.482 8.979
P -1.652 3.473 1.814
P -1.103 8.244 1.814
P -1.086 8.257 8.979
P 2.182 3.167 12.541
P 2.180 3.189 5.376
P 2.757 5.362 8.979
P 2.755 5.384 1.814
P 6.022 0.293 5.376
P 6.040 0.306 12.541
P 6.588 5.077 12.541
P 6.608 5.069 5.376
Br 0.000 0.000 0.000
Br 0.000 0.000 3.626
Br 0.000 0.000 10.728
O -0.859 2.951 7.767
O -0.870 3.034 3.076
O -0.851 3.043 0.556
O -0.880 3.135 10.263
O -1.729 5.034 8.879
O -1.683 5.032 1.804
O -1.846 5.659 12.559
O -1.842 5.686 5.374
O -1.952 7.819 7.767
O -1.875 7.766 0.556
O -1.874 7.787 3.076
O -1.782 7.746 10.263
O 0.934 4.113 5.374
O 0.958 4.123 12.559
O 2.126 2.219 6.587
O 2.192 2.271 11.279
O 2.210 2.259 13.799
O 2.275 2.330 4.092
O 1.441 4.537 8.879
O 1.421 4.577 1.804
O 0.262 7.492 1.804
O 0.287 7.531 8.879
O 4.029 1.248 8.981
O 4.050 1.231 1.796
O 0.887 7.319 12.559
O 0.908 7.303 5.374
O 4.649 1.020 5.476
O 4.674 1.058 12.550
O 3.516 3.973 12.550
O 3.495 4.014 5.476
O 2.662 6.221 10.263
O 2.727 6.292 0.556
O 2.744 6.280 3.076
O 2.811 6.332 7.767
O 3.978 4.428 1.796
O 4.003 4.438 8.981
O 6.719 0.805 4.092
O 6.811 0.763 11.279
O 6.812 0.784 13.799
O 6.889 0.731 6.587
O 6.779 2.865 8.981
O 6.782 2.891 1.796
O 6.620 3.519 12.550
O 6.665 3.517 5.476
O 5.817 5.416 4.092
O 5.788 5.507 13.799
O 5.807 5.517 11.279
O 5.796 5.600 6.587
F 0.000 0.000 7.177
```

Its space group is P-3, No. 147.

***

The records above give, respectively, energy relative to the elements, uncorrected values of -1021; -644; -3200 meV/atom.
The records above give, respectively, calculated volume values of 501; 113; 1212 Å³ per cell.